[1]
Material: LiMn2Ru
Method: DFT, PBE-GGA
State: relaxed

abc: 3.645 3.721 3.820
angles: 90.00 90.00 90.00
Space group Pmmm (No. 47)
Symmetry-distinct sites (fractional):
Li: 0.000 0.000 0.000 x1
Mn: 0.000 0.500 0.500 x1
Mn: 0.500 0.000 0.500 x1
Ru: 0.500 0.500 0.000 x1

Calculated values
Uncorrected energy = -28.93 eV for the cell shown
E_form = 14.3 kJ per mole of atoms

***

[2]
Material: LiMn2Ru
Method: DFT, PBE-GGA
State: relaxed

abc: 2.921 4.461 8.801
angles: 90.00 90.00 90.00
Space group Cmmm (No. 65)
Symmetry-distinct sites (fractional):
Li: 0.000 0.000 0.000 x2
Mn: 0.000 0.500 0.264 x4
Ru: 0.000 0.000 0.500 x2

Calculated values
Uncorrected energy = -56.27 eV for the cell shown
E_form = 33.7 kJ per mole of atoms

***

[3]
Material: Li4MnRu
Method: DFT, PBE-GGA
State: relaxed

abc: 6.841 6.841 6.841
angles: 90.00 90.00 90.00
Space group F-43m (No. 216)
Symmetry-distinct sites (fractional):
Li: 0.123 0.123 0.377 x16
Mn: 0.000 0.000 0.000 x4
Ru: 0.250 0.250 0.750 x4

Calculated values
Uncorrected energy = -96.17 eV for the cell shown
E_form = 33.1 kJ per mole of atoms

***

Q: Number 3 is which compound?
A: Li4MnRu

***

Q: uncorrected energy of number 3 (Li4MnRu)?
A: -96.17 eV for the cell shown